(1)
The following is a DFT calculation (PBE) of crystalline La2BeCrH at its relaxed geometry.

Unit cell a=5.2019 b=5.2019 c=3.7298 alpha=90.00 beta=90.00 gamma=90.00
Positions (direct):
La1 0.0000 0.5000 0.0000
La2 0.5000 0.0000 0.0000
Be1 0.0000 0.0000 0.5000
Cr1 0.5000 0.5000 0.5000
H1 0.5000 0.5000 0.0000

Computed properties:
* space-group type: P4/mmm, No. 123
* E: -5.139 eV/atom
* V: 20.2 A^3/atom


(2)
The following is a DFT calculation (PBE) of crystalline SrAsRu2 at its relaxed geometry.

Unit cell a=5.6944 b=5.6944 c=5.6944 alpha=148.77 beta=128.16 gamma=61.78
Positions (direct):
Sr1 0.0000 0.0000 0.0000
As1 0.2789 0.7789 0.5000
Ru1 0.4849 0.4849 0.0000
Ru2 0.7115 0.2115 0.5000

Computed properties:
* space-group type: Imm2, No. 44
* DFT formation energy: 0.34 eV per atom
* V: 18.6 A^3/atom


(3)
The following is a DFT calculation (PBE) of crystalline Cd3Rh at its relaxed geometry.

Unit cell a=4.7614 b=5.9041 c=5.3219 alpha=90.00 beta=90.00 gamma=90.00
Positions (direct):
Cd1 0.2500 0.0022 0.1639
Cd2 0.2500 0.4978 0.1639
Cd3 0.2500 0.7500 0.6351
Cd4 0.7500 0.2500 0.3649
Cd5 0.7500 0.5022 0.8361
Cd6 0.7500 0.9978 0.8361
Rh1 0.2500 0.2500 0.6753
Rh2 0.7500 0.7500 0.3247

Computed properties:
* space-group type: Pmmn, No. 59
* DFT formation energy: -0.10 eV per atom
* V: 18.7 A^3/atom


(4)
The following is a DFT calculation (PBE) of crystalline ZrMn2Br at its relaxed geometry.

Unit cell a=3.8864 b=3.8864 c=4.6630 alpha=90.00 beta=90.00 gamma=90.00
Positions (direct):
Zr1 0.0000 0.0000 0.0000
Mn1 0.0000 0.5000 0.5000
Mn2 0.5000 0.0000 0.5000
Br1 0.5000 0.5000 0.0000

Computed properties:
* E_form (uncorrected): 0.450 eV per atom
* E above lowest polymorph: 404 meV/atom
* space-group type: P4/mmm, No. 123
* V: 17.6 A^3/atom


(5)
The following is a DFT calculation (PBE) of crystalline ScTlIn2Pt at its relaxed geometry.

Unit cell a=5.4189 b=5.4189 c=5.3733 alpha=90.00 beta=90.00 gamma=90.00
Positions (direct):
Sc1 0.0000 0.0000 0.0000
Tl1 0.5000 0.5000 0.0000
In1 0.0000 0.5000 0.5000
In2 0.5000 0.0000 0.5000
Pt1 0.0000 0.0000 0.5000

Computed properties:
* space-group type: P4/mmm, No. 123
* DFT formation energy: -0.17 eV per atom
* V: 31.6 A^3/atom


(6)
The following is a DFT calculation (PBE) of crystalline Tb3Nd2Pb4 at its relaxed geometry.

Unit cell a=8.5211 b=8.4807 c=8.2323 alpha=90.00 beta=111.58 gamma=90.00
Positions (direct):
Tb1 0.0000 0.0000 0.0000
Tb2 0.0000 0.5000 0.5000
Tb3 0.2556 0.1604 0.7627
Tb4 0.2556 0.3396 0.2627
Tb5 0.7444 0.6604 0.7373
Tb6 0.7444 0.8396 0.2373
Nd1 0.3060 0.6795 0.9424
Nd2 0.3060 0.8205 0.4424
Nd3 0.6940 0.1795 0.5576
Nd4 0.6940 0.3205 0.0576
Pb1 0.0095 0.6404 0.1399
Pb2 0.0095 0.8596 0.6399
Pb3 0.4143 0.0398 0.1696
Pb4 0.4143 0.4602 0.6696
Pb5 0.5857 0.5398 0.3304
Pb6 0.5857 0.9602 0.8304
Pb7 0.9905 0.1404 0.3601
Pb8 0.9905 0.3596 0.8601

Computed properties:
* E above lowest polymorph: 0 meV/atom
* space-group type: P2_1/c, No. 14
* DFT formation energy: -0.59 eV per atom
* V: 30.7 A^3/atom


(7)
The following is a DFT calculation (PBE) of crystalline SrAlMo at its relaxed geometry.

Unit cell a=4.8698 b=4.8698 c=4.8698 alpha=60.00 beta=60.00 gamma=60.00
Positions (direct):
Sr1 0.0000 0.0000 0.0000
Al1 0.2500 0.2500 0.2500
Mo1 0.5000 0.5000 0.5000

Computed properties:
* E above lowest polymorph: 572 meV/atom
* space-group type: F-43m, No. 216
* DFT formation energy: 0.97 eV per atom
* V: 27.2 A^3/atom


(8)
The following is a DFT calculation (PBE) of crystalline InW5 at its relaxed geometry.

Unit cell a=2.7617 b=2.7617 c=13.4451 alpha=90.00 beta=90.00 gamma=90.00
Positions (direct):
In1 0.0000 0.0000 0.0000
W1 0.0000 0.0000 0.3379
W2 0.0000 0.0000 0.6621
W3 0.5000 0.5000 0.1737
W4 0.5000 0.5000 0.5000
W5 0.5000 0.5000 0.8263

Computed properties:
* E above lowest polymorph: 180 meV/atom
* space-group type: P4/mmm, No. 123
* DFT formation energy: 0.53 eV per atom
* V: 17.1 A^3/atom


(9)
The following is a DFT calculation (PBE) of crystalline La3CrP at its relaxed geometry.

Unit cell a=9.1109 b=9.1109 c=4.1371 alpha=90.00 beta=90.00 gamma=120.00
Positions (direct):
La1 0.1968 0.3935 0.2500
La2 0.1968 0.8032 0.2500
La3 0.3935 0.1968 0.7500
La4 0.6065 0.8032 0.2500
La5 0.8032 0.1968 0.7500
La6 0.8032 0.6065 0.7500
Cr1 0.0000 0.0000 0.0000
Cr2 0.0000 0.0000 0.5000
P1 0.3333 0.6667 0.7500
P2 0.6667 0.3333 0.2500

Computed properties:
* E above lowest polymorph: 0 meV/atom
* space-group type: P6_3/mmc, No. 194
* DFT formation energy: -0.12 eV per atom
* V: 29.7 A^3/atom


(10)
The following is a DFT calculation (PBE) of crystalline PaTiB at its relaxed geometry.

Unit cell a=10.6371 b=10.6371 c=10.6371 alpha=18.24 beta=18.24 gamma=18.24
Positions (direct):
Pa1 0.2128 0.2128 0.2128
Pa2 0.7872 0.7872 0.7872
Ti1 0.3698 0.3698 0.3698
Ti2 0.6302 0.6302 0.6302
B1 0.0713 0.0713 0.0713
B2 0.9287 0.9287 0.9287

Computed properties:
* E above lowest polymorph: 0 meV/atom
* space-group type: R-3m, No. 166
* DFT formation energy: -0.04 eV per atom
* V: 17.2 A^3/atom


(11)
The following is a DFT calculation (PBE) of crystalline FeAgMo2N at its relaxed geometry.

Unit cell a=4.7461 b=4.7461 c=3.3854 alpha=90.00 beta=90.00 gamma=90.00
Positions (direct):
Fe1 0.0000 0.0000 0.0000
Ag1 0.5000 0.5000 0.5000
Mo1 0.0000 0.5000 0.0000
Mo2 0.5000 0.0000 0.0000
N1 0.0000 0.0000 0.5000

Computed properties:
* E_form (uncorrected): 1.163 eV per atom
* space-group type: P4/mmm, No. 123
* V: 15.3 A^3/atom


(12)
The following is a DFT calculation (PBE) of crystalline Hg2OsSe at its relaxed geometry.

Unit cell a=4.7996 b=4.7996 c=4.7996 alpha=60.00 beta=60.00 gamma=60.00
Positions (direct):
Hg1 0.0000 0.0000 0.0000
Hg2 0.2500 0.2500 0.2500
Os1 0.7500 0.7500 0.7500
Se1 0.5000 0.5000 0.5000

Computed properties:
* E_form (uncorrected): 1.013 eV per atom
* space-group type: F-43m, No. 216
* V: 19.5 A^3/atom


> The highest V belongs to which entry?

ScTlIn2Pt